This record from Alexandria via LeMat-Bulk describes an optimized crystal structure of Fe2Te4HClO12. The functional is GGA+U.

DOS(E_F)	0.442	states/eV/cell
SG	No. 2
raw total energy	-5.43	eV per atom

Cell lengths 5.2748, 6.6354, 9.2921 Å; angles 75.69, 84.22, 70.81 degrees
Each line ends with the local moment (μB).
Sites, in units of the cell vectors:
Fe: 0.6967 0.1339 0.4329  4.33
Fe: 0.3033 0.8661 0.5671  4.33
Te: 0.1614 0.3488 0.6915  0.03
Te: 0.8386 0.6512 0.3085  0.03
Te: 0.2657 0.1164 0.1784  0.03
Te: 0.7343 0.8836 0.8216  0.03
H: 0.0000 0.5000 0.0000  0.00
Cl: 0.0000 0.0000 0.0000  0.02
O: 0.2524 0.5889 0.5743  0.10
O: 0.7476 0.4111 0.4257  0.10
O: 0.0109 0.4148 0.1326  0.02
O: 0.9891 0.5852 0.8674  0.02
O: 0.0950 0.0057 0.3589  0.10
O: 0.9050 0.9943 0.6411  0.10
O: 0.5378 0.7962 0.1749  0.02
O: 0.4622 0.2038 0.8251  0.02
O: 0.5256 0.2136 0.2383  0.09
O: 0.4744 0.7864 0.7617  0.09
O: 0.3433 0.1725 0.5457  0.14
O: 0.6567 0.8275 0.4543  0.14